Record 1
Here is crystalline CrHgSe4 at its relaxed geometry from Alexandria via LeMat-Bulk. Energies are from GGA-PBE. Values from VASP.

ΔE_f (raw) = 3.43 eV per formula unit
VASP energy = -20.4 eV/cell
Calculated volume = 136.73 Å³/f.u.

Geometry as Quantum ESPRESSO input:
```
&SYSTEM
  ibrav = 0, nat = 6, ntyp = 3
/
ATOMIC_SPECIES
Cr 52.00 Cr.upf
Hg 200.59 Hg.upf
Se 78.96 Se.upf
ATOMIC_POSITIONS crystal
Cr 0.0000 0.0000 0.0000
Hg 0.7500 0.7500 0.7500
Se 0.3751 0.3751 0.3751
Se 0.3751 0.3751 0.8747
Se 0.3751 0.8747 0.3751
Se 0.8747 0.3751 0.3751
CELL_PARAMETERS angstrom
0.0000 4.0889 4.0889
4.0889 0.0000 4.0889
4.0889 4.0889 0.0000
```

=====

Record 2
Here is crystalline Li2CuNiH5 at its relaxed geometry from Alexandria via LeMat-Bulk. Energies are from GGA-PBE. Values from VASP.

VASP energy = -64.2 eV/cell
Calculated volume = 67.43 Å³/f.u.

Geometry as Quantum ESPRESSO input:
```
&SYSTEM
  ibrav = 0, nat = 18, ntyp = 4
/
ATOMIC_SPECIES
Li 6.94 Li.upf
Cu 63.55 Cu.upf
Ni 58.69 Ni.upf
H 1.01 H.upf
ATOMIC_POSITIONS crystal
Li 0.0864 0.9136 0.5000
Li 0.1452 0.8548 0.1392
Li 0.8548 0.1452 0.6392
Li 0.9136 0.0864 0.0000
Cu 0.4643 0.5357 0.2679
Cu 0.5357 0.4643 0.7679
Ni 0.2280 0.7720 0.8669
Ni 0.7720 0.2280 0.3669
H 0.0709 0.9291 0.8771
H 0.2623 0.7377 0.4819
H 0.2930 0.7070 0.2600
H 0.3792 0.6208 0.8355
H 0.4921 0.5079 0.6012
H 0.5079 0.4921 0.1012
H 0.6208 0.3792 0.3355
H 0.7070 0.2930 0.7600
H 0.7377 0.2623 0.9819
H 0.9291 0.0709 0.3771
CELL_PARAMETERS angstrom
1.3618 -5.3628 0.0000
1.3618 5.3628 0.0000
0.0000 0.0000 9.2327
```

=====

Record 3
Here is crystalline PaZnInO6 at its relaxed geometry from Alexandria via LeMat-Bulk. Energies are from GGA-PBE. Values from VASP.

ΔE_f (raw) = -16.86 eV per formula unit
VASP energy = -60.1 eV/cell
Calculated volume = 119.00 Å³/f.u.

Geometry as Quantum ESPRESSO input:
```
&SYSTEM
  ibrav = 0, nat = 9, ntyp = 4
/
ATOMIC_SPECIES
Pa 231.04 Pa.upf
Zn 65.41 Zn.upf
In 114.82 In.upf
O 16.00 O.upf
ATOMIC_POSITIONS crystal
Pa 0.0000 0.0000 0.0000
Zn 0.3333 0.6667 0.5000
In 0.6667 0.3333 0.5000
O 0.0129 0.3386 0.2597
O 0.0129 0.6743 0.7403
O 0.3257 0.3386 0.7403
O 0.3257 0.9871 0.2597
O 0.6614 0.6743 0.2597
O 0.6614 0.9871 0.7403
CELL_PARAMETERS angstrom
5.3613 0.0000 0.0000
-2.6806 4.6430 0.0000
0.0000 0.0000 4.7807
```

=====

Record 4
Here is crystalline Ac3Nd4Hg4 at its relaxed geometry from Alexandria via LeMat-Bulk. Energies are from GGA-PBE. Values from VASP.

VASP energy = -35.8 eV/cell
Calculated volume = 371.87 Å³/f.u.

Geometry as Quantum ESPRESSO input:
```
&SYSTEM
  ibrav = 0, nat = 11, ntyp = 3
/
ATOMIC_SPECIES
Ac 227.00 Ac.upf
Nd 144.24 Nd.upf
Hg 200.59 Hg.upf
ATOMIC_POSITIONS crystal
Ac 0.0000 0.0000 0.0000
Ac 0.3876 0.8876 0.5000
Ac 0.6124 0.1124 0.5000
Nd 0.0301 0.3282 0.7019
Nd 0.3737 0.6718 0.7019
Nd 0.6263 0.3282 0.2981
Nd 0.9699 0.6718 0.2981
Hg 0.2227 0.2227 0.0000
Hg 0.3138 0.5000 0.8138
Hg 0.6862 0.5000 0.1862
Hg 0.7773 0.7773 0.0000
CELL_PARAMETERS angstrom
-2.5185 4.3184 8.5479
2.5185 -4.3184 8.5479
2.5185 4.3184 -8.5479
```

=====

Record 5
Here is crystalline PaH2IrO8 at its relaxed geometry from Alexandria via LeMat-Bulk. Energies are from GGA-PBE. Values from VASP.

VASP energy = -78.5 eV/cell
Calculated volume = 137.47 Å³/f.u.

Geometry as Quantum ESPRESSO input:
```
&SYSTEM
  ibrav = 0, nat = 12, ntyp = 4
/
ATOMIC_SPECIES
Pa 231.04 Pa.upf
H 1.01 H.upf
Ir 192.22 Ir.upf
O 16.00 O.upf
ATOMIC_POSITIONS crystal
Pa 0.0000 0.0000 0.0000
H 0.4549 0.4549 0.6991
H 0.5451 0.5451 0.3009
Ir 0.0000 0.0000 0.5000
O 0.2278 0.7722 0.5000
O 0.2367 0.2367 0.2846
O 0.2552 0.7448 0.0000
O 0.2593 0.2593 0.7219
O 0.7407 0.7407 0.2781
O 0.7448 0.2552 0.0000
O 0.7633 0.7633 0.7154
O 0.7722 0.2278 0.5000
CELL_PARAMETERS angstrom
2.5657 -3.8845 0.0000
2.5657 3.8845 0.0000
-0.2690 0.0000 6.8965
```

=====

Record 6
Here is crystalline InAg2Ru at its relaxed geometry from Alexandria via LeMat-Bulk. Energies are from GGA-PBE. Values from VASP.

VASP energy = -16.7 eV/cell
Calculated volume = 71.83 Å³/f.u.

Geometry as Quantum ESPRESSO input:
```
&SYSTEM
  ibrav = 0, nat = 4, ntyp = 3
/
ATOMIC_SPECIES
In 114.82 In.upf
Ag 107.87 Ag.upf
Ru 101.07 Ru.upf
ATOMIC_POSITIONS crystal
In 0.0000 0.0000 0.0000
Ag 0.0000 0.5000 0.5000
Ag 0.5000 0.0000 0.5000
Ru 0.5000 0.5000 0.0000
CELL_PARAMETERS angstrom
2.7891 -5.0574 0.0000
2.7891 5.0574 0.0000
-1.4471 0.0000 2.5462
```

=====

Question: The highest calculated volume belongs to which entry?
Answer: Ac3Nd4Hg4

=====

Please write out number 5 again, unchanged.
Here is crystalline PaH2IrO8 at its relaxed geometry from Alexandria via LeMat-Bulk. Energies are from GGA-PBE. Values from VASP.

VASP energy = -78.5 eV/cell
Calculated volume = 137.47 Å³/f.u.

Geometry as Quantum ESPRESSO input:
```
&SYSTEM
  ibrav = 0, nat = 12, ntyp = 4
/
ATOMIC_SPECIES
Pa 231.04 Pa.upf
H 1.01 H.upf
Ir 192.22 Ir.upf
O 16.00 O.upf
ATOMIC_POSITIONS crystal
Pa 0.0000 0.0000 0.0000
H 0.4549 0.4549 0.6991
H 0.5451 0.5451 0.3009
Ir 0.0000 0.0000 0.5000
O 0.2278 0.7722 0.5000
O 0.2367 0.2367 0.2846
O 0.2552 0.7448 0.0000
O 0.2593 0.2593 0.7219
O 0.7407 0.7407 0.2781
O 0.7448 0.2552 0.0000
O 0.7633 0.7633 0.7154
O 0.7722 0.2278 0.5000
CELL_PARAMETERS angstrom
2.5657 -3.8845 0.0000
2.5657 3.8845 0.0000
-0.2690 0.0000 6.8965
```

=====

Question: Which value of calculated volume does entry 1 give?
Answer: 136.73 Å³/f.u.

=====

Question: Which value of VASP energy does entry 6 give?
Answer: -16.7 eV/cell